[1]
Computed, not measured: a geometry-optimized Al2TcAs structure at the GGA-PBE level of DFT.

Geometry as POSCAR:
```
Al2TcAs
1.0
-2.727 -4.818 -4.460
5.733 -4.101 0.925
0.292 -5.686 0.298
Al Tc As
4 2 2
direct
0.614 0.125 0.250 Al
0.375 0.386 0.750 Al
0.875 0.864 0.750 Al
0.136 0.625 0.250 Al
0.750 0.250 0.500 Tc
0.000 0.000 0.000 Tc
0.250 0.750 0.500 As
0.500 0.500 0.000 As
```

Output
ΔH_f (0 K) in meV/atom: 300
D(E_F) in states/eV/cell: 7.422


[2]
Computed, not measured: a geometry-optimized Be2AlCu5Au2 structure at the GGA-PBE level of DFT.

Geometry as POSCAR:
```
Be2AlCu5Au2
1.0
3.739 0.000 0.000
0.000 8.244 0.000
0.000 0.000 8.244
Cu Au Be Al
10 4 4 2
direct
0.500 0.076 0.795 Cu
0.500 0.500 0.000 Cu
0.500 0.424 0.295 Cu
0.500 0.924 0.205 Cu
0.500 0.795 0.924 Cu
0.500 0.576 0.705 Cu
0.500 0.000 0.500 Cu
0.500 0.295 0.576 Cu
0.500 0.705 0.424 Cu
0.500 0.205 0.076 Cu
0.000 0.824 0.676 Au
0.000 0.324 0.824 Au
0.000 0.676 0.176 Au
0.000 0.176 0.324 Au
0.000 0.617 0.883 Be
0.000 0.383 0.117 Be
0.000 0.117 0.617 Be
0.000 0.883 0.383 Be
0.000 0.000 0.000 Al
0.000 0.500 0.500 Al
```

Output
ΔH_f (0 K) in meV/atom: -107
D(E_F) in states/eV/cell: 8.424


[3]
Computed, not measured: a geometry-optimized Mg2GaSnRh structure at the GGA-PBE level of DFT.

Geometry as POSCAR:
```
Mg2GaSnRh
1.0
-1.441 2.916 0.070
-3.120 -1.470 -3.025
-1.547 -2.734 6.403
Rh Sn Mg Ga
1 1 2 1
direct
0.602 0.102 0.204 Rh
0.491 0.491 0.982 Sn
0.264 0.264 0.528 Mg
0.923 0.923 0.845 Mg
0.703 0.703 0.406 Ga
```

Output
ΔH_f (0 K) in meV/atom: -280
D(E_F) in states/eV/cell: 2.223


[4]
Computed, not measured: a geometry-optimized Pr7Ho4Th structure at the GGA-PBE level of DFT.

Geometry as POSCAR:
```
Pr7Ho4Th
1.0
7.077 1.730 0.935
5.418 7.664 2.560
-1.084 -0.499 8.950
Pr Th Ho
7 1 4
direct
0.036 0.721 0.332 Pr
0.274 0.225 0.338 Pr
0.726 0.775 0.662 Pr
0.500 0.000 0.000 Pr
0.259 0.501 0.998 Pr
0.964 0.279 0.668 Pr
0.741 0.499 0.002 Pr
0.000 0.000 0.000 Th
0.516 0.726 0.330 Ho
0.786 0.214 0.332 Ho
0.214 0.786 0.668 Ho
0.484 0.274 0.670 Ho
```

Output
ΔH_f (0 K) in meV/atom: 19
D(E_F) in states/eV/cell: 17.924
Energy above the most stable polymorph in this dataset in meV/atom: 0


[5]
Computed, not measured: a geometry-optimized Co3TePd structure at the GGA-PBE level of DFT.

Geometry as POSCAR:
```
Co3TePd
1.0
4.597 0.000 0.000
0.000 4.597 0.000
0.000 0.000 4.597
Pd Te Co
1 1 3
direct
0.000 0.000 0.000 Pd
0.500 0.500 0.500 Te
0.000 0.000 0.500 Co
0.500 0.000 0.000 Co
0.000 0.500 0.000 Co
```

Output
Raw formation energy in eV per atom: 1.1608
D(E_F) in states/eV/cell: 10.135
Energy above the most stable polymorph in this dataset in meV/atom: 0


[6]
Computed, not measured: a geometry-optimized TlCr2Pt structure at the GGA-PBE level of DFT.

Geometry as POSCAR:
```
TlCr2Pt
1.0
8.738 -0.028 -0.017
8.232 2.933 -0.017
8.232 1.409 2.572
Cr Tl Pt
2 1 1
direct
0.986 0.986 0.986 Cr
0.257 0.257 0.257 Cr
0.748 0.748 0.748 Tl
0.509 0.509 0.509 Pt
```

Output
ΔH_f (0 K) in meV/atom: 383
D(E_F) in states/eV/cell: 2.920
Energy above the most stable polymorph in this dataset in meV/atom: 140


no.,spin magnetization (μB per atom)
1,0.326
2,0.000
3,0.000
4,0.000
5,1.289
6,0.037